An optimized crystal structure of Na2CaPd6, computed with GGA-PBE.

Computed properties:
V (Å³/cell): 188
ΔE_f (kJ/mol of atoms): 11.2
SG: Fm-3m, No. 225

Geometry as CIF:
```
data_Na2CaPd6
_chemical_formula_sum 'Na2 Ca1 Pd6'
_space_group_name_H-M_alt 'P 1'
_space_group_IT_number 1
_space_group_name_Hall 'P 1'
_cell_length_a 6.430
_cell_length_b 6.430
_cell_length_c 6.430
_cell_angle_alpha 60.00
_cell_angle_beta 60.00
_cell_angle_gamma 60.00
loop_
_atom_site_label
_atom_site_type_symbol
_atom_site_fract_x
_atom_site_fract_y
_atom_site_fract_z
Na1 Na 0.250 0.250 0.250
Na2 Na 0.750 0.750 0.750
Ca1 Ca 0.000 0.000 0.000
Pd1 Pd 0.288 0.288 0.712
Pd2 Pd 0.288 0.712 0.288
Pd3 Pd 0.288 0.712 0.712
Pd4 Pd 0.712 0.288 0.288
Pd5 Pd 0.712 0.288 0.712
Pd6 Pd 0.712 0.712 0.288
```

An optimized crystal structure of Na3CaPd8, computed with GGA-PBE.

Computed properties:
V (Å³/cell): 223
ΔE_f (kJ/mol of atoms): -30.9
SG: R3m, No. 160

Geometry as CIF:
```
data_Na3CaPd8
_chemical_formula_sum 'Na3 Ca1 Pd8'
_space_group_name_H-M_alt 'P 1'
_space_group_IT_number 1
_space_group_name_Hall 'P 1'
_cell_length_a 9.367
_cell_length_b 9.367
_cell_length_c 9.367
_cell_angle_alpha 33.51
_cell_angle_beta 33.51
_cell_angle_gamma 33.51
loop_
_atom_site_label
_atom_site_type_symbol
_atom_site_fract_x
_atom_site_fract_y
_atom_site_fract_z
Na1 Na 0.000 0.000 0.000
Na2 Na 0.122 0.122 0.122
Na3 Na 0.629 0.629 0.629
Ca1 Ca 0.501 0.501 0.501
Pd1 Pd 0.063 0.063 0.562
Pd2 Pd 0.063 0.562 0.063
Pd3 Pd 0.064 0.563 0.563
Pd4 Pd 0.313 0.313 0.313
Pd5 Pd 0.562 0.063 0.063
Pd6 Pd 0.563 0.064 0.563
Pd7 Pd 0.563 0.563 0.064
Pd8 Pd 0.813 0.813 0.813
```

An optimized crystal structure of RbNaCa2Pd, computed with GGA-PBE.

Computed properties:
V (Å³/cell): 199
ΔE_f (kJ/mol of atoms): -14.0
SG: P4/mmm, No. 123

Geometry as CIF:
```
data_RbNaCa2Pd
_chemical_formula_sum 'Rb1 Na1 Ca2 Pd1'
_space_group_name_H-M_alt 'P 1'
_space_group_IT_number 1
_space_group_name_Hall 'P 1'
_cell_length_a 5.654
_cell_length_b 5.654
_cell_length_c 6.239
_cell_angle_alpha 90.00
_cell_angle_beta 90.00
_cell_angle_gamma 90.00
loop_
_atom_site_label
_atom_site_type_symbol
_atom_site_fract_x
_atom_site_fract_y
_atom_site_fract_z
Rb1 Rb 0.000 0.000 0.000
Na1 Na 0.500 0.500 0.000
Ca1 Ca 0.000 0.500 0.500
Ca2 Ca 0.500 0.000 0.500
Pd1 Pd 0.500 0.500 0.500
```

An optimized crystal structure of RbNaCa2Pd, computed with GGA-PBE.

Computed properties:
V (Å³/cell): 214
ΔE_f (kJ/mol of atoms): -9.3
SG: P4/mmm, No. 123

Geometry as CIF:
```
data_RbNaCa2Pd
_chemical_formula_sum 'Rb1 Na1 Ca2 Pd1'
_space_group_name_H-M_alt 'P 1'
_space_group_IT_number 1
_space_group_name_Hall 'P 1'
_cell_length_a 5.663
_cell_length_b 5.663
_cell_length_c 6.677
_cell_angle_alpha 90.00
_cell_angle_beta 90.00
_cell_angle_gamma 90.00
loop_
_atom_site_label
_atom_site_type_symbol
_atom_site_fract_x
_atom_site_fract_y
_atom_site_fract_z
Rb1 Rb 0.000 0.000 0.000
Na1 Na 0.500 0.500 0.000
Ca1 Ca 0.000 0.500 0.500
Ca2 Ca 0.500 0.000 0.500
Pd1 Pd 0.000 0.000 0.500
```

An optimized crystal structure of NaCaPdS2, computed with GGA-PBE.

Computed properties:
V (Å³/cell): 141
SG: P4/mmm, No. 123
Formation energy from raw total energies (eV/atom): 0.17

Geometry as CIF:
```
data_NaCaPdS2
_chemical_formula_sum 'Na1 Ca1 Pd1 S2'
_space_group_name_H-M_alt 'P 1'
_space_group_IT_number 1
_space_group_name_Hall 'P 1'
_cell_length_a 5.119
_cell_length_b 5.119
_cell_length_c 5.395
_cell_angle_alpha 90.00
_cell_angle_beta 90.00
_cell_angle_gamma 90.00
loop_
_atom_site_label
_atom_site_type_symbol
_atom_site_fract_x
_atom_site_fract_y
_atom_site_fract_z
Na1 Na 0.000 0.000 0.000
Ca1 Ca 0.000 0.000 0.500
Pd1 Pd 0.500 0.500 0.000
S1 S 0.000 0.500 0.500
S2 S 0.500 0.000 0.500
```

An optimized crystal structure of NaCaSbPd, computed with GGA-PBE.

Computed properties:
V (Å³/cell): 86
SG: F-43m, No. 216
Formation energy from raw total energies (eV/atom): -0.61

Geometry as CIF:
```
data_NaCaSbPd
_chemical_formula_sum 'Na1 Ca1 Sb1 Pd1'
_space_group_name_H-M_alt 'P 1'
_space_group_IT_number 1
_space_group_name_Hall 'P 1'
_cell_length_a 4.957
_cell_length_b 4.957
_cell_length_c 4.957
_cell_angle_alpha 60.00
_cell_angle_beta 60.00
_cell_angle_gamma 60.00
loop_
_atom_site_label
_atom_site_type_symbol
_atom_site_fract_x
_atom_site_fract_y
_atom_site_fract_z
Na1 Na 0.000 0.000 0.000
Ca1 Ca 0.750 0.750 0.750
Sb1 Sb 0.250 0.250 0.250
Pd1 Pd 0.500 0.500 0.500
```

An optimized crystal structure of NaCaSbPd2, computed with GGA-PBE.

Computed properties:
V (Å³/cell): 149
SG: P4/mmm, No. 123
Formation energy from raw total energies (eV/atom): -0.05

Geometry as CIF:
```
data_NaCaSbPd2
_chemical_formula_sum 'Na1 Ca1 Sb1 Pd2'
_space_group_name_H-M_alt 'P 1'
_space_group_IT_number 1
_space_group_name_Hall 'P 1'
_cell_length_a 5.135
_cell_length_b 5.135
_cell_length_c 5.665
_cell_angle_alpha 90.00
_cell_angle_beta 90.00
_cell_angle_gamma 90.00
loop_
_atom_site_label
_atom_site_type_symbol
_atom_site_fract_x
_atom_site_fract_y
_atom_site_fract_z
Na1 Na 0.000 0.000 0.000
Ca1 Ca 0.500 0.500 0.000
Sb1 Sb 0.500 0.500 0.500
Pd1 Pd 0.000 0.500 0.500
Pd2 Pd 0.500 0.000 0.500
```

An optimized crystal structure of NaCaPdSe, computed with GGA-PBE.

Computed properties:
V (Å³/cell): 87
SG: F-43m, No. 216
Formation energy from raw total energies (eV/atom): -0.73

Geometry as CIF:
```
data_NaCaPdSe
_chemical_formula_sum 'Na1 Ca1 Pd1 Se1'
_space_group_name_H-M_alt 'P 1'
_space_group_IT_number 1
_space_group_name_Hall 'P 1'
_cell_length_a 4.973
_cell_length_b 4.973
_cell_length_c 4.973
_cell_angle_alpha 60.00
_cell_angle_beta 60.00
_cell_angle_gamma 60.00
loop_
_atom_site_label
_atom_site_type_symbol
_atom_site_fract_x
_atom_site_fract_y
_atom_site_fract_z
Na1 Na 0.000 0.000 0.000
Ca1 Ca 0.500 0.500 0.500
Pd1 Pd 0.750 0.750 0.750
Se1 Se 0.250 0.250 0.250
```

An optimized crystal structure of NaCaSnPd, computed with GGA-PBE.

Computed properties:
V (Å³/cell): 87
ΔE_f (kJ/mol of atoms): -45.7
SG: F-43m, No. 216

Geometry as CIF:
```
data_NaCaSnPd
_chemical_formula_sum 'Na1 Ca1 Sn1 Pd1'
_space_group_name_H-M_alt 'P 1'
_space_group_IT_number 1
_space_group_name_Hall 'P 1'
_cell_length_a 4.979
_cell_length_b 4.979
_cell_length_c 4.979
_cell_angle_alpha 60.00
_cell_angle_beta 60.00
_cell_angle_gamma 60.00
loop_
_atom_site_label
_atom_site_type_symbol
_atom_site_fract_x
_atom_site_fract_y
_atom_site_fract_z
Na1 Na 0.000 0.000 0.000
Ca1 Ca 0.250 0.250 0.250
Sn1 Sn 0.750 0.750 0.750
Pd1 Pd 0.500 0.500 0.500
```

An optimized crystal structure of NaSrCaPd, computed with GGA-PBE.

Computed properties:
V (Å³/cell): 117
ΔE_f (kJ/mol of atoms): -21.2
SG: F-43m, No. 216

Geometry as CIF:
```
data_NaSrCaPd
_chemical_formula_sum 'Na1 Sr1 Ca1 Pd1'
_space_group_name_H-M_alt 'P 1'
_space_group_IT_number 1
_space_group_name_Hall 'P 1'
_cell_length_a 5.491
_cell_length_b 5.491
_cell_length_c 5.491
_cell_angle_alpha 60.00
_cell_angle_beta 60.00
_cell_angle_gamma 60.00
loop_
_atom_site_label
_atom_site_type_symbol
_atom_site_fract_x
_atom_site_fract_y
_atom_site_fract_z
Na1 Na 0.000 0.000 0.000
Sr1 Sr 0.250 0.250 0.250
Ca1 Ca 0.750 0.750 0.750
Pd1 Pd 0.500 0.500 0.500
```

An optimized crystal structure of Na2CaTaPd, computed with GGA-PBE.

Computed properties:
V (Å³/cell): 188
ΔE_f (kJ/mol of atoms): 151.9
SG: P4/mmm, No. 123

Geometry as CIF:
```
data_Na2CaTaPd
_chemical_formula_sum 'Na2 Ca1 Ta1 Pd1'
_space_group_name_H-M_alt 'P 1'
_space_group_IT_number 1
_space_group_name_Hall 'P 1'
_cell_length_a 5.646
_cell_length_b 5.646
_cell_length_c 5.911
_cell_angle_alpha 90.00
_cell_angle_beta 90.00
_cell_angle_gamma 90.00
loop_
_atom_site_label
_atom_site_type_symbol
_atom_site_fract_x
_atom_site_fract_y
_atom_site_fract_z
Na1 Na 0.000 0.500 0.000
Na2 Na 0.500 0.000 0.000
Ca1 Ca 0.000 0.000 0.500
Ta1 Ta 0.000 0.000 0.000
Pd1 Pd 0.500 0.500 0.500
```

An optimized crystal structure of NaCaTlPd, computed with GGA-PBE.

Computed properties:
V (Å³/cell): 91
ΔE_f (kJ/mol of atoms): -28.8
SG: F-43m, No. 216

Geometry as CIF:
```
data_NaCaTlPd
_chemical_formula_sum 'Na1 Ca1 Tl1 Pd1'
_space_group_name_H-M_alt 'P 1'
_space_group_IT_number 1
_space_group_name_Hall 'P 1'
_cell_length_a 5.054
_cell_length_b 5.054
_cell_length_c 5.054
_cell_angle_alpha 60.00
_cell_angle_beta 60.00
_cell_angle_gamma 60.00
loop_
_atom_site_label
_atom_site_type_symbol
_atom_site_fract_x
_atom_site_fract_y
_atom_site_fract_z
Na1 Na 0.000 0.000 0.000
Ca1 Ca 0.750 0.750 0.750
Tl1 Tl 0.250 0.250 0.250
Pd1 Pd 0.500 0.500 0.500
```

An optimized crystal structure of NaCa2YPd, computed with GGA-PBE.

Computed properties:
V (Å³/cell): 179
ΔE_f (kJ/mol of atoms): -21.3
SG: P4/mmm, No. 123

Geometry as CIF:
```
data_NaCa2YPd
_chemical_formula_sum 'Na1 Ca2 Y1 Pd1'
_space_group_name_H-M_alt 'P 1'
_space_group_IT_number 1
_space_group_name_Hall 'P 1'
_cell_length_a 5.726
_cell_length_b 5.726
_cell_length_c 5.447
_cell_angle_alpha 90.00
_cell_angle_beta 90.00
_cell_angle_gamma 90.00
loop_
_atom_site_label
_atom_site_type_symbol
_atom_site_fract_x
_atom_site_fract_y
_atom_site_fract_z
Na1 Na 0.000 0.000 0.000
Ca1 Ca 0.000 0.500 0.500
Ca2 Ca 0.500 0.000 0.500
Y1 Y 0.500 0.500 0.000
Pd1 Pd 0.500 0.500 0.500
```